# 1
La4Tm2H | PBE | relaxed

a = 5.0424 Å, b = 5.0424 Å, c = 17.4127 Å
α = 90.00°, β = 90.00°, γ = 90.00°
Space group I4/mmm (No. 139)
Inequivalent atoms, fractional coordinates:
La 0.0000 0.0000 0.1589
La 0.0000 0.5000 0.0000
Tm 0.0000 0.0000 0.3630
H 0.0000 0.0000 0.0000

Summary:
* uncorrected energy: -4.49 eV per atom

# 2
TmSbRh2 | PBE | relaxed

a = 3.4611 Å, b = 3.4611 Å, c = 6.2188 Å
α = 90.00°, β = 90.00°, γ = 90.00°
Space group P4/mmm (No. 123)
Inequivalent atoms, fractional coordinates:
Tm 0.0000 0.0000 0.0000
Sb 0.0000 0.0000 0.5000
Rh 0.5000 0.5000 0.2606

Summary:
* uncorrected formation energy: -0.6450 eV/atom

# 3
CaLa2Br | PBE | relaxed

a = 3.8439 Å, b = 3.8439 Å, c = 33.2965 Å
α = 90.00°, β = 90.00°, γ = 120.00°
Space group R-3m (No. 166, hexagonal axes)
Inequivalent atoms, fractional coordinates:
Ca 0.0000 0.0000 0.0000
La 0.0000 0.0000 0.2386
Br 0.0000 0.0000 0.5000

Summary:
* uncorrected formation energy: -0.5429 eV/atom

# 4
LiAlIn2F | PBE | relaxed

a = 4.9469 Å, b = 4.9469 Å, c = 4.5978 Å
α = 90.00°, β = 90.00°, γ = 90.00°
Space group P4/mmm (No. 123)
Inequivalent atoms, fractional coordinates:
Li 0.0000 0.0000 0.0000
Al 0.0000 0.0000 0.5000
In 0.0000 0.5000 0.0000
F 0.5000 0.5000 0.5000

Summary:
* uncorrected formation energy: -0.1228 eV/atom

# 5
AcSm6DyTm2 | PBE | relaxed

a = 9.3712 Å, b = 15.2815 Å, c = 9.6301 Å
α = 90.00°, β = 95.30°, γ = 90.00°
Space group C2/c (No. 15)
Inequivalent atoms, fractional coordinates:
Ac 0.0000 0.0313 0.2500
Sm 0.0622 0.1831 0.9451
Sm 0.0976 0.3880 0.1172
Sm 0.2211 0.2280 0.3189
Dy 0.0000 0.4124 0.7500
Tm 0.2399 0.4461 0.4507

Summary:
* formation enthalpy at 0 K: 0.12 eV/atom

# 6
La4Y8Er3 | PBE | relaxed

a = 13.5858 Å, b = 12.9112 Å, c = 6.8139 Å
α = 90.00°, β = 119.94°, γ = 90.00°
Space group C2/m (No. 12)
Inequivalent atoms, fractional coordinates:
La 0.0000 0.0000 0.0000
La 0.0000 0.0000 0.5000
La 0.2500 0.2500 0.0000
Y 0.0000 0.2554 0.0000
Y 0.0000 0.3614 0.5000
Y 0.2268 0.5000 0.9603
Y 0.2320 0.5000 0.4859
Er 0.0000 0.5000 0.0000
Er 0.2500 0.2500 0.5000

Summary:
* polymorph energy (0 for the lowest one): 3.58 eV/f.u.
* formation enthalpy at 0 K: 0.35 eV/atom

# 7
RbLiYBr5 | PBE | relaxed

a = 9.4657 Å, b = 12.8400 Å, c = 10.6638 Å
α = 90.00°, β = 113.48°, γ = 90.00°
Space group C2/c (No. 15)
Inequivalent atoms, fractional coordinates:
Rb 0.0000 0.1550 0.2500
Li 0.0000 0.1920 0.7500
Y 0.0000 0.5000 0.0000
Br 0.0000 0.4253 0.2500
Br 0.1039 0.3003 0.6043
Br 0.1947 0.0657 0.9245

Summary:
* uncorrected formation energy: -1.7709 eV/atom

# 8
Nb3TeI7 | PBE | relaxed

a = 13.3844 Å, b = 7.7227 Å, c = 9.8522 Å
α = 90.00°, β = 130.89°, γ = 90.00°
Space group Cm (No. 8)
Inequivalent atoms, fractional coordinates:
Nb 0.0000 0.0000 0.0000
Nb 0.1991 0.1986 0.0007
Te 0.4982 0.5000 0.7206
I 0.0320 0.5000 0.7941
I 0.1688 0.2511 0.2498
I 0.2843 0.2475 0.7946
I 0.3937 0.5000 0.1959
I 0.4206 0.0000 0.2514

Summary:
* uncorrected formation energy: -0.5309 eV/atom

# 9
VOsRu2 | PBE | relaxed

a = 3.8213 Å, b = 3.8213 Å, c = 3.8144 Å
α = 90.00°, β = 90.00°, γ = 90.00°
Space group P4/mmm (No. 123)
Inequivalent atoms, fractional coordinates:
V 0.0000 0.0000 0.0000
Os 0.5000 0.5000 0.0000
Ru 0.0000 0.5000 0.5000

Summary:
* polymorph energy (0 for the lowest one): 0.00 eV/f.u.
* formation enthalpy at 0 K: -0.07 eV/atom

# 10
Na2CuWS4 | PBE | relaxed

a = 6.1923 Å, b = 6.1923 Å, c = 10.0690 Å
α = 90.00°, β = 90.00°, γ = 90.00°
Space group I-4 (No. 82)
Inequivalent atoms, fractional coordinates:
Na 0.0000 0.0000 0.0000
Na 0.0000 0.5000 0.2500
Cu 0.0000 0.0000 0.5000
W 0.0000 0.5000 0.7500
S 0.1785 0.2574 0.6241

Summary:
* uncorrected formation energy: -0.6537 eV/atom

# 11
LaCrCo2 | PBE | relaxed

a = 2.9492 Å, b = 2.9492 Å, c = 7.0872 Å
α = 90.00°, β = 90.00°, γ = 90.00°
Space group P4/mmm (No. 123)
Inequivalent atoms, fractional coordinates:
La 0.0000 0.0000 0.0000
Cr 0.0000 0.0000 0.5000
Co 0.5000 0.5000 0.3211

Summary:
* formation enthalpy at 0 K: 0.26 eV/atom

# 12
CrRu2Cl | PBE | relaxed

a = 2.8636 Å, b = 2.8636 Å, c = 6.9327 Å
α = 90.00°, β = 90.00°, γ = 90.00°
Space group P4/mmm (No. 123)
Inequivalent atoms, fractional coordinates:
Cr 0.0000 0.0000 0.0000
Ru 0.5000 0.5000 0.2204
Cl 0.0000 0.0000 0.5000

Summary:
* polymorph energy (0 for the lowest one): 0.40 eV/f.u.
* uncorrected formation energy: 0.3964 eV/atom